Material: KTlIn2Os
Method: DFT, PBE-GGA
State: relaxed

Cell: 5.2560 5.2560 5.3588 Å, 90.00 90.00 90.00°
Atoms (fractional coordinates):
K 0.0000 0.0000 0.0000
Tl 0.5000 0.5000 0.0000
In 0.0000 0.5000 0.5000
In 0.5000 0.0000 0.5000
Os 0.5000 0.5000 0.5000

Properties
**ΔE_f**: 0.31 eV per formula unit
**Calculated volume**: 148.0 Å³ per cell
**E**: -0.14599 Ha/atom
**Symmetry**: P4/mmm, No. 123
**Magnetization**: 0.0 μB/f.u.
**Fermi-level density of states**: 1.25 states/eV/f.u.